Entry 1:
## PmTlAgSb (PBE)

Data for a geometry-optimized PmTlAgSb structure.

Unit cell a=5.309 b=5.309 c=5.309 alpha=60.00 beta=60.00 gamma=60.00
Sites, in units of the cell vectors:
Pm  0.000  0.000  0.000
Tl  0.750  0.750  0.750
Ag  0.250  0.250  0.250
Sb  0.500  0.500  0.500

Total energy   -14.743 eV for the cell shown
Crystal system   cubic


Entry 2:
## PmTmAgSb (PBE)

Data for a geometry-optimized PmTmAgSb structure.

Unit cell a=5.258 b=5.258 c=5.258 alpha=60.00 beta=60.00 gamma=60.00
Sites, in units of the cell vectors:
Pm  0.000  0.000  0.000
Tm  0.500  0.500  0.500
Ag  0.250  0.250  0.250
Sb  0.750  0.750  0.750

Total energy   -18.314 eV for the cell shown
Crystal system   cubic


Entry 3:
## PmYAgSb (PBE)

Data for a geometry-optimized PmYAgSb structure.

Unit cell a=5.290 b=5.290 c=5.290 alpha=60.00 beta=60.00 gamma=60.00
Sites, in units of the cell vectors:
Pm  0.000  0.000  0.000
Y  0.500  0.500  0.500
Ag  0.750  0.750  0.750
Sb  0.250  0.250  0.250

Total energy   -20.509 eV for the cell shown
Crystal system   cubic


Entry 4:
## Pm3ScAg4 (PBE)

Data for a geometry-optimized Pm3ScAg4 structure.

Unit cell a=3.631 b=3.631 c=14.836 alpha=90.00 beta=90.00 gamma=90.00
Sites, in units of the cell vectors:
Pm  0.000  0.000  0.000
Pm  0.000  0.000  0.260
Pm  0.000  0.000  0.740
Sc  0.000  0.000  0.500
Ag  0.500  0.500  0.129
Ag  0.500  0.500  0.396
Ag  0.500  0.500  0.604
Ag  0.500  0.500  0.871

Total energy   -34.064 eV for the cell shown
Crystal system   tetragonal


Entry 5:
## PmSc2Ag (PBE)

Data for a geometry-optimized PmSc2Ag structure.

Unit cell a=4.864 b=7.454 c=6.151 alpha=90.00 beta=113.13 gamma=90.00
Sites, in units of the cell vectors:
Pm  0.059  0.250  0.118
Pm  0.941  0.750  0.882
Sc  0.354  0.041  0.708
Sc  0.354  0.459  0.708
Sc  0.646  0.541  0.292
Sc  0.646  0.959  0.292
Ag  0.207  0.750  0.414
Ag  0.793  0.250  0.586

Distance to the lowest polymorph of the same formula   0.06 eV/f.u.
Crystal system   monoclinic


Entry 6:
## PmScAg4 (PBE)

Data for a geometry-optimized PmScAg4 structure.

Unit cell a=5.292 b=5.292 c=5.239 alpha=90.14 beta=90.14 gamma=120.29
Sites, in units of the cell vectors:
Pm  0.000  0.000  0.000
Sc  0.500  0.500  0.500
Ag  0.176  0.824  0.500
Ag  0.335  0.665  0.000
Ag  0.665  0.335  0.000
Ag  0.824  0.176  0.500

Distance to the lowest polymorph of the same formula   0.00 eV/f.u.
Crystal system   monoclinic


Entry 7:
## PmSc2Ag3 (PBE)

Data for a geometry-optimized PmSc2Ag3 structure.

Unit cell a=3.491 b=3.491 c=10.816 alpha=90.00 beta=90.00 gamma=90.00
Sites, in units of the cell vectors:
Pm  0.000  0.000  0.000
Sc  0.000  0.000  0.343
Sc  0.000  0.000  0.657
Ag  0.500  0.500  0.196
Ag  0.500  0.500  0.500
Ag  0.500  0.500  0.804

Total energy   -27.570 eV for the cell shown
Crystal system   tetragonal


Entry 8:
## PmSc2Ag (PBE)

Data for a geometry-optimized PmSc2Ag structure.

Unit cell a=3.500 b=3.500 c=8.050 alpha=90.00 beta=90.00 gamma=90.00
Sites, in units of the cell vectors:
Pm  0.000  0.000  0.000
Sc  0.500  0.500  0.295
Sc  0.500  0.500  0.705
Ag  0.000  0.000  0.500

Distance to the lowest polymorph of the same formula   0.00 eV/f.u.
Crystal system   tetragonal


Entry 9:
## PmScAg4 (PBE)

Data for a geometry-optimized PmScAg4 structure.

Unit cell a=5.664 b=5.664 c=5.664 alpha=60.00 beta=60.00 gamma=60.00
Sites, in units of the cell vectors:
Pm  0.000  0.000  0.000
Sc  0.250  0.250  0.250
Ag  0.127  0.624  0.624
Ag  0.624  0.127  0.624
Ag  0.624  0.624  0.127
Ag  0.624  0.624  0.624

Distance to the lowest polymorph of the same formula   0.85 eV/f.u.
Crystal system   cubic


Entry 10:
## Pm2ScAg (PBE)

Data for a geometry-optimized Pm2ScAg structure.

Unit cell a=10.641 b=10.641 c=10.641 alpha=19.06 beta=19.06 gamma=19.06
Sites, in units of the cell vectors:
Pm  0.000  0.000  0.000
Pm  0.174  0.174  0.174
Sc  0.420  0.420  0.420
Ag  0.588  0.588  0.588

Distance to the lowest polymorph of the same formula   0.44 eV/f.u.
Crystal system   trigonal


Entry 11:
## Pm2ScAg (PBE)

Data for a geometry-optimized Pm2ScAg structure.

Unit cell a=3.732 b=3.732 c=7.974 alpha=90.00 beta=90.00 gamma=90.00
Sites, in units of the cell vectors:
Pm  0.000  0.000  0.235
Pm  0.000  0.000  0.765
Sc  0.500  0.500  0.500
Ag  0.500  0.500  0.000

Distance to the lowest polymorph of the same formula   0.00 eV/f.u.
Crystal system   tetragonal


Entry 12:
## PmSc2Ag (PBE)

Data for a geometry-optimized PmSc2Ag structure.

Unit cell a=10.168 b=10.168 c=10.168 alpha=19.46 beta=19.46 gamma=19.46
Sites, in units of the cell vectors:
Pm  0.000  0.000  0.000
Sc  0.240  0.240  0.240
Sc  0.429  0.429  0.429
Ag  0.835  0.835  0.835

Distance to the lowest polymorph of the same formula   0.56 eV/f.u.
Crystal system   trigonal


Entry 13:
## Pm6ScAg5 (PBE)

Data for a geometry-optimized Pm6ScAg5 structure.

Unit cell a=5.295 b=7.437 c=8.504 alpha=90.00 beta=108.22 gamma=90.00
Sites, in units of the cell vectors:
Pm  0.000  0.236  0.000
Pm  0.000  0.764  0.000
Pm  0.328  0.254  0.657
Pm  0.328  0.746  0.657
Pm  0.672  0.254  0.343
Pm  0.672  0.746  0.343
Sc  0.500  0.500  0.000
Ag  0.147  0.500  0.296
Ag  0.168  0.000  0.337
Ag  0.500  0.000  0.000
Ag  0.832  0.000  0.663
Ag  0.853  0.500  0.704

Total energy   -51.311 eV for the cell shown
Crystal system   monoclinic


Entry 14:
## PmSc2Ag (PBE)

Data for a geometry-optimized PmSc2Ag structure.

Unit cell a=5.121 b=5.121 c=5.121 alpha=60.00 beta=60.00 gamma=60.00
Sites, in units of the cell vectors:
Pm  0.000  0.000  0.000
Sc  0.250  0.250  0.250
Sc  0.750  0.750  0.750
Ag  0.500  0.500  0.500

Distance to the lowest polymorph of the same formula   0.75 eV/f.u.
Crystal system   cubic


Number 1: DOS at the Fermi energy 2.6 states/eV/f.u.. Number 2: DOS at the Fermi energy 4.8 states/eV/f.u.. Number 3: DOS at the Fermi energy 5.0 states/eV/f.u.. Number 4: DOS at the Fermi energy 5.7 states/eV/f.u.. Number 5: DOS at the Fermi energy 6.5 states/eV/f.u.. Number 6: DOS at the Fermi energy 3.1 states/eV/f.u.. Number 7: DOS at the Fermi energy 3.2 states/eV/f.u.. Number 8: DOS at the Fermi energy 6.6 states/eV/f.u.. Number 9: DOS at the Fermi energy 5.1 states/eV/f.u.. Number 10: DOS at the Fermi energy 4.5 states/eV/f.u.. Number 11: DOS at the Fermi energy 6.0 states/eV/f.u.. Number 12: DOS at the Fermi energy 5.8 states/eV/f.u.. Number 13: DOS at the Fermi energy 10.5 states/eV/f.u.. Number 14: DOS at the Fermi energy 5.0 states/eV/f.u..